NdY7Er12 | PBE-GGA | optimized geometry

DOS(E_F), states/eV per cell: 109.6
Calculated volume, Å³ per atom: 32.692
ΔE to the lowest computed polymorph, eV per atom: 0.000
Formation energy, eV per atom: 0.2506

abc: 11.9802 11.9802 15.7809
angles: 90.00 90.00 120.00
Space group R-3 (No. 148, hexagonal axes)
Inequivalent atoms, fractional coordinates:
Nd (0.0000, 0.0000, 0.0000)
Y (0.0000, 0.0000, 0.5000)
Y (0.0498, 0.4633, 0.5841)
Er (0.0226, 0.5724, 0.2165)
Er (0.0518, 0.8623, 0.2956)